Run 1
Compound: SmYTlRh
Source: Alexandria
Functional: PBE
Structure: relaxed

POSCAR file:
```
SmYTlRh
1.0
7.3194 0.0000 0.0000
0.0000 7.3194 0.0000
0.0000 0.0000 7.3194
Sm Y Tl Rh
4 4 4 4
Direct
0.0000 0.0000 0.0000 Sm
0.0000 0.5000 0.5000 Sm
0.5000 0.0000 0.5000 Sm
0.5000 0.5000 0.0000 Sm
0.0000 0.0000 0.5000 Y
0.0000 0.5000 0.0000 Y
0.5000 0.0000 0.0000 Y
0.5000 0.5000 0.5000 Y
0.2500 0.2500 0.2500 Tl
0.2500 0.7500 0.7500 Tl
0.7500 0.2500 0.7500 Tl
0.7500 0.7500 0.2500 Tl
0.2500 0.2500 0.7500 Rh
0.2500 0.7500 0.2500 Rh
0.7500 0.2500 0.2500 Rh
0.7500 0.7500 0.7500 Rh
```

Output
Space group: F-43m, No. 216
DOS at the Fermi energy in states/eV per cell: 10.8
Magnetic moment in Bohr magnetons per cell: 0.00

Run 2
Compound: SmYTlRh
Source: Alexandria
Functional: PBE
Structure: relaxed

POSCAR file:
```
SmYTlRh
1.0
3.5630 0.0000 0.0000
0.0000 3.5630 0.0000
0.0000 0.0000 7.7455
Sm Y Tl Rh
1 1 1 1
Direct
0.0000 0.0000 0.0000 Sm
0.0000 0.0000 0.5700 Y
0.5000 0.5000 0.2912 Tl
0.5000 0.5000 0.7770 Rh
```

Output
Space group: P4mm, No. 99
DOS at the Fermi energy in states/eV per cell: 2.7
Magnetic moment in Bohr magnetons per cell: 0.00

Relative energies, in eV/atom, with the most stable structure set to zero: run 1 0.114; run 2 0.000.

Run 1
Compound: Sm2Tm2Rh3
Source: Alexandria
Functional: PBE
Structure: relaxed

POSCAR file:
```
Sm2Tm2Rh3
1.0
4.3711 0.0000 0.0000
2.1839 5.4853 0.0000
0.0067 1.3008 7.3256
Sm Tm Rh
2 2 3
Direct
0.1319 0.2353 0.3550 Sm
0.8681 0.7647 0.6450 Sm
0.3614 0.7766 0.0700 Tm
0.6386 0.2234 0.9300 Tm
0.0000 0.5000 0.0000 Rh
0.1933 0.1149 0.7349 Rh
0.8067 0.8851 0.2651 Rh
```

Output
Space group: P-1, No. 2
DOS at the Fermi energy in states/eV per cell: 3.0
Magnetic moment in Bohr magnetons per cell: 0.00

Run 2
Compound: Sm2Tm2Rh3
Source: Alexandria
Functional: PBE
Structure: relaxed

POSCAR file:
```
Sm2Tm2Rh3
1.0
8.2782 0.0000 0.0000
0.0000 4.7733 0.0000
-2.7444 0.0000 8.1192
Sm Tm Rh
4 4 6
Direct
0.1234 0.0000 0.3708 Sm
0.3766 0.5000 0.6292 Sm
0.6234 0.5000 0.3708 Sm
0.8766 0.0000 0.6292 Sm
0.1267 0.5000 0.8794 Tm
0.3733 0.0000 0.1206 Tm
0.6267 0.0000 0.8794 Tm
0.8733 0.5000 0.1206 Tm
0.0000 0.0000 0.0000 Rh
0.2462 0.5000 0.2384 Rh
0.2538 0.0000 0.7616 Rh
0.5000 0.5000 0.0000 Rh
0.7462 0.0000 0.2384 Rh
0.7538 0.5000 0.7616 Rh
```

Output
Space group: C2/m, No. 12
DOS at the Fermi energy in states/eV per cell: 6.2
Magnetic moment in Bohr magnetons per cell: 0.00

Relative energies, in eV/atom, with the most stable structure set to zero: run 1 0.110; run 2 0.000.

Run 1
Compound: SmTmRh
Source: Alexandria
Functional: PBE
Structure: relaxed

POSCAR file:
```
SmTmRh
1.0
6.8263 0.0000 0.0000
0.0000 6.8263 0.0000
0.0000 0.0000 6.8263
Sm Tm Rh
4 4 4
Direct
0.0000 0.0000 0.0000 Sm
0.0000 0.5000 0.5000 Sm
0.5000 0.0000 0.5000 Sm
0.5000 0.5000 0.0000 Sm
0.0000 0.0000 0.5000 Tm
0.0000 0.5000 0.0000 Tm
0.5000 0.0000 0.0000 Tm
0.5000 0.5000 0.5000 Tm
0.2500 0.2500 0.7500 Rh
0.2500 0.7500 0.2500 Rh
0.7500 0.2500 0.2500 Rh
0.7500 0.7500 0.7500 Rh
```

Output
Space group: F-43m, No. 216
DOS at the Fermi energy in states/eV per cell: 12.2
Magnetic moment in Bohr magnetons per cell: 0.00

Run 2
Compound: SmTmRh
Source: Alexandria
Functional: PBE
Structure: relaxed

POSCAR file:
```
SmTmRh
1.0
6.9026 0.0000 0.0000
0.0000 5.9331 0.0000
-6.4584 0.0000 8.0349
Sm Tm Rh
4 4 4
Direct
0.1868 0.1347 0.3834 Sm
0.1868 0.3653 0.8834 Sm
0.8132 0.6347 0.1166 Sm
0.8132 0.8653 0.6166 Sm
0.3342 0.6196 0.6301 Tm
0.3342 0.8804 0.1301 Tm
0.6658 0.1196 0.8699 Tm
0.6658 0.3804 0.3699 Tm
0.3342 0.6669 0.3637 Rh
0.3342 0.8331 0.8637 Rh
0.6658 0.1669 0.1363 Rh
0.6658 0.3331 0.6363 Rh
```

Output
Space group: P2_1/c, No. 14
DOS at the Fermi energy in states/eV per cell: 10.9
Magnetic moment in Bohr magnetons per cell: 0.00

Relative energies, in eV/atom, with the most stable structure set to zero: run 1 0.000; run 2 0.027.

Run 1
Compound: SmTmRh
Source: Alexandria
Functional: PBE
Structure: relaxed

POSCAR file:
```
SmTmRh
1.0
3.4644 0.0000 0.0000
0.0000 3.4644 0.0000
0.0000 0.0000 12.6074
Sm Tm Rh
2 2 2
Direct
0.0000 0.0000 0.0000 Sm
0.5000 0.5000 0.5000 Sm
0.0000 0.0000 0.7375 Tm
0.5000 0.5000 0.2375 Tm
0.0000 0.0000 0.3589 Rh
0.5000 0.5000 0.8589 Rh
```

Output
Space group: I4mm, No. 107
DOS at the Fermi energy in states/eV per cell: 7.5
Magnetic moment in Bohr magnetons per cell: 0.00

Run 2
Compound: SmTmRh
Source: Alexandria
Functional: PBE
Structure: relaxed

POSCAR file:
```
SmTmRh
1.0
5.7367 0.0000 0.0000
0.0000 4.4889 0.0000
-1.8813 0.0000 6.1970
Sm Tm Rh
2 2 2
Direct
0.0708 0.2500 0.2849 Sm
0.9292 0.7500 0.7151 Sm
0.4771 0.2500 0.8000 Tm
0.5229 0.7500 0.2000 Tm
0.3436 0.7500 0.5563 Rh
0.6564 0.2500 0.4437 Rh
```

Output
Space group: P2_1/m, No. 11
DOS at the Fermi energy in states/eV per cell: 5.9
Magnetic moment in Bohr magnetons per cell: 0.00

Relative energies, in eV/atom, with the most stable structure set to zero: run 1 0.026; run 2 0.000.

Run 1
Compound: SmTmRh
Source: Alexandria
Functional: PBE
Structure: relaxed

POSCAR file:
```
SmTmRh
1.0
5.8067 0.0000 0.0000
0.0000 4.2547 0.0000
-2.6776 0.0000 6.6633
Sm Tm Rh
2 2 2
Direct
0.0108 0.0000 0.2486 Sm
0.9892 0.0000 0.7514 Sm
0.4905 0.5000 0.7512 Tm
0.5095 0.5000 0.2488 Tm
0.0000 0.5000 0.5000 Rh
0.5000 0.0000 0.0000 Rh
```

Output
Space group: P2/m, No. 10
DOS at the Fermi energy in states/eV per cell: 6.4
Magnetic moment in Bohr magnetons per cell: 0.00

Run 2
Compound: SmTmRh
Source: Alexandria
Functional: PBE
Structure: relaxed

POSCAR file:
```
SmTmRh
1.0
4.0247 0.0000 0.0000
-2.0123 3.4855 0.0000
0.0000 0.0000 6.1902
Sm Tm Rh
1 1 1
Direct
0.0000 0.0000 0.0000 Sm
0.6667 0.3333 0.4798 Tm
0.3333 0.6667 0.2523 Rh
```

Output
Space group: P3m1, No. 156
DOS at the Fermi energy in states/eV per cell: 2.7
Magnetic moment in Bohr magnetons per cell: 0.00

Relative energies, in eV/atom, with the most stable structure set to zero: run 1 0.000; run 2 0.058.

Run 1
Compound: SmTm3Rh2
Source: Alexandria
Functional: PBE
Structure: relaxed

POSCAR file:
```
SmTm3Rh2
1.0
7.9774 -2.1216 0.0000
7.9774 2.1216 0.0000
-4.5231 0.0000 9.5318
Sm Tm Rh
2 6 4
Direct
0.0557 0.0557 0.2111 Sm
0.9443 0.9443 0.7889 Sm
0.2123 0.2123 0.5951 Tm
0.3313 0.3313 0.9736 Tm
0.4263 0.4263 0.3332 Tm
0.5737 0.5737 0.6668 Tm
0.6687 0.6687 0.0264 Tm
0.7877 0.7877 0.4049 Tm
0.1391 0.1391 0.8434 Rh
0.3816 0.3816 0.5790 Rh
0.6184 0.6184 0.4210 Rh
0.8609 0.8609 0.1566 Rh
```

Output
Space group: C2/m, No. 12
DOS at the Fermi energy in states/eV per cell: 9.9
Magnetic moment in Bohr magnetons per cell: 0.00

Run 2
Compound: SmTm3Rh2
Source: Alexandria
Functional: PBE
Structure: relaxed

POSCAR file:
```
SmTm3Rh2
1.0
4.6139 0.0000 0.0000
0.0000 8.6883 0.0000
0.0000 0.0000 7.1743
Sm Tm Rh
2 6 4
Direct
0.0000 0.0841 0.0000 Sm
0.0000 0.9159 0.5000 Sm
0.0000 0.3328 0.6290 Tm
0.0000 0.6672 0.1290 Tm
0.5000 0.1748 0.3474 Tm
0.5000 0.4173 0.9741 Tm
0.5000 0.5827 0.4741 Tm
0.5000 0.8252 0.8474 Tm
0.0000 0.3455 0.2346 Rh
0.0000 0.6545 0.7346 Rh
0.5000 0.1633 0.7404 Rh
0.5000 0.8367 0.2404 Rh
```

Output
Space group: Pmc2_1, No. 26
DOS at the Fermi energy in states/eV per cell: 11.4
Magnetic moment in Bohr magnetons per cell: 0.00

Relative energies, in eV/atom, with the most stable structure set to zero: run 1 0.070; run 2 0.000.